(1)
## Np2ScTe2S2 (PBE)

Data for a geometry-optimized Np2ScTe2S2 structure.

Cell: 8.5724 8.5724 8.5724 Å, 147.43 147.43 46.73°
Element x y z (fractional)
Np 0.1143 0.1143 0.0000
Np 0.8857 0.8857 0.0000
Sc 0.5000 0.5000 0.0000
Te 0.3162 0.3162 0.0000
Te 0.6838 0.6838 0.0000
S 0.0000 0.5000 0.5000
S 0.5000 0.0000 0.5000

density of states at the Fermi level	22.5	states/eV per cell
space group	I4/mmm
formation energy from raw total energies	-1.077	eV/atom


(2)
## NpScTl2S4 (PBE)

Data for a geometry-optimized NpScTl2S4 structure.

Cell: 6.7885 3.9445 7.8649 Å, 90.00 106.78 90.00°
Element x y z (fractional)
Np 0.0000 0.0000 0.0000
Sc 0.5000 0.5000 0.0000
Tl 0.0000 0.5000 0.5000
Tl 0.5000 0.0000 0.5000
S 0.2422 0.5000 0.1931
S 0.2820 0.0000 0.8106
S 0.7180 0.0000 0.1894
S 0.7578 0.5000 0.8069

density of states at the Fermi level	10.2	states/eV per cell
space group	P2/m
formation energy from raw total energies	-1.177	eV/atom


Look up the density of states at the Fermi level of the second one.
10.2 states/eV per cell